8
Lattice="5.003 0.000 -0.596 0.000 5.098 0.000 -3.780 0.000 10.783" Properties=species:S:1:pos:R:3 comment="LaErTh2, relaxed, DFT GGA-PBE" e_form_ev_per_atom=0.027 space_group=P2_1/m rho_g_cm3=9.71 polymorph_energy_ev_per_atom=0.000 crystal_system=monoclinic n_ef_per_ev_cell=12.38 pbc="T T T"
La 2.945 3.823 3.421
La -1.722 1.274 6.766
Er 0.444 1.274 3.719
Er 0.779 3.823 6.468
Th 2.647 1.274 0.943
Th -1.424 3.823 9.244
Th 0.142 3.823 1.201
Th 1.081 1.274 8.986